{"formula": "YFeOs", "functional": "PBE", "state": "optimized geometry", "m_tot_mub_per_cell": 4.60, "ef_ev_per_atom": -0.226, "sg": "Imma", "relative_energy_mev_per_atom": 0.0, "total_energy_ev_per_cell": -53.7, "cell": [[-4.1918, -3.0815, -0.9702], [4.6955, -1.1237, -2.1674], [2.2958, 0.0204, 4.7684]], "species": ["Fe", "Y", "Os", "Y", "Fe", "Os"], "fractional_positions": [[0.5000, 0.0000, 0.5000], [0.7500, 0.8728, 0.1228], [0.0000, 0.5000, 0.0000], [0.2500, 0.1272, 0.8772], [0.0000, 0.5000, 0.5000], [0.5000, 0.5000, 0.5000]]}